DFT (PBE) results for a relaxed structure of TbGa9Ir2.

Values from the calculation:
Total energy, eV/atom: -4.43
D(E_F), states/eV per cell: 7.17
E_form, eV/atom: -0.301
Mass density, g/cm3: 9.2

abc: 6.729 8.366 8.988
angles: 90.12 62.83 71.68
Positions (direct):
Ga 0.165 0.430 0.182
Ga 0.757 0.580 0.792
Ga 0.993 0.920 0.708
Ga 0.684 0.181 0.569
Ga 0.737 0.528 0.472
Ga 0.585 0.070 0.318
Ga 0.971 0.682 0.933
Ga 0.316 0.071 0.681
Ga 0.779 0.818 0.567
Ga 0.094 0.937 0.311
Ga 0.623 0.288 0.078
Ga 0.013 0.972 0.028
Ga 0.410 0.812 0.436
Ga 0.656 0.563 0.189
Ga 0.340 0.688 0.064
Ga 0.127 0.212 0.422
Ga 0.434 0.429 0.819
Ga 0.066 0.319 0.931
Ir 0.875 0.250 0.250
Ir 0.875 0.750 0.250
Ir 0.875 0.250 0.750
Ir 0.375 0.750 0.750
Tb 0.285 0.463 0.539
Tb 0.465 0.037 0.961